Entry 1:
VASP calculation (PBE) on crystalline CsTaAg2Cl8 at its relaxed geometry.

Structure (extended XYZ):
```
12
Lattice="0.0282 4.2036 4.7308 -0.4419 -5.6320 5.2187 8.3818 -3.1892 4.3366" Properties=species:S:1:pos:R:3 pbc="T T T"
Ag 5.5036 -2.1197 7.1207
Ag 2.4644 -2.4979 7.1654
Cl 3.7947 -0.8588 5.6990
Cl 7.0441 -6.7010 9.0818
Cl 1.7271 -4.6606 5.4942
Cl 6.2410 0.0430 8.7920
Cl 4.1734 -3.7588 8.5871
Cl 0.0275 -1.7223 7.6224
Cl 0.9240 2.0834 5.2044
Cl 7.9406 -2.8953 6.6638
Cs 4.1909 -1.5946 2.1683
Ta 0.0000 0.0000 0.0000
```

Symmetry   P-1 (2)



Entry 2:
VASP calculation (PBE) on crystalline Cs2TbAgCl6 at its relaxed geometry.

Structure (extended XYZ):
```
10
Lattice="7.6869 0.0000 0.0000 3.8434 6.6570 0.0000 3.8434 2.2190 6.2763" Properties=species:S:1:pos:R:3 pbc="T T T"
Cl 5.7212 5.5729 1.5332
Ag 7.6869 4.4380 3.1382
Cl 9.6526 3.3031 4.7431
Cl 7.6869 6.7078 4.7431
Cl 9.6526 5.5729 1.5332
Cs 3.8434 2.2190 1.5691
Cs 11.5303 6.6570 4.7072
Tb 0.0000 0.0000 0.0000
Cl 5.7212 3.3031 4.7431
Cl 7.6869 2.1682 1.5332
```

D(E_F)   0.0 states/eV/f.u.
Symmetry   Fm-3m (225)



Entry 3:
VASP calculation (PBE) on crystalline Cs2TbAg2Cl6 at its relaxed geometry.

Structure (extended XYZ):
```
11
Lattice="-4.8220 4.3542 4.2188 -2.4655 -6.6980 -3.0173 5.6524 -0.3875 6.8605" Properties=species:S:1:pos:R:3 pbc="T T T"
Cl 2.4291 0.3511 6.1868
Tb 0.4152 1.9833 5.5397
Ag -2.1832 -2.2332 6.9216
Cl 0.1650 2.3955 8.1677
Cs 1.8001 -2.9413 5.0932
Ag 0.5481 -0.4981 1.1405
Cl -1.8002 -5.1268 -0.1056
Cs -3.4353 0.2100 2.9689
Cl -0.3450 -2.6732 2.3646
Cl -1.2901 -0.0581 5.6974
Cl -4.0643 -3.0824 1.8752
```

D(E_F)   1.7 states/eV/f.u.
Symmetry   C2/m (12)



| no. | raw formation energy (meV per atom) |
| --- | --- |
| 1 | -1155 |
| 2 | -1856 |
| 3 | -1514 |